Entry 1:
KY2Sb: optimized geometry, PBE.

Values from the calculation:
Raw formation energy (eV/atom): -0.099
DFT total energy (eV per atom): -4.64
Total moment (μB per formula unit): 0.00
SG: P2/m

CIF file:
```
data_KY2Sb
_space_group_name_H-M_alt 'P 1'
_space_group_IT_number 1
_space_group_name_Hall 'P 1'
_cell_length_a 3.802
_cell_length_b 5.100
_cell_length_c 7.368
_cell_angle_alpha 90.00
_cell_angle_beta 104.93
_cell_angle_gamma 90.00
loop_
_atom_site_label
_atom_site_fract_x
_atom_site_fract_y
_atom_site_fract_z
_atom_site_occupancy
K1 0.000 0.000 0.000 1
Y1 0.373 0.500 0.700 1
Y2 0.627 0.500 0.300 1
Sb1 0.000 0.000 0.500 1
```



Entry 2:
KY2Sb: optimized geometry, PBE.

Values from the calculation:
Raw formation energy (eV/atom): -0.100
DFT total energy (eV per atom): -4.64
Total moment (μB per formula unit): 1.85
SG: Cm

CIF file:
```
data_KY2Sb
_space_group_name_H-M_alt 'P 1'
_space_group_IT_number 1
_space_group_name_Hall 'P 1'
_cell_length_a 5.724
_cell_length_b 5.724
_cell_length_c 8.162
_cell_angle_alpha 108.20
_cell_angle_beta 108.20
_cell_angle_gamma 41.82
loop_
_atom_site_label
_atom_site_fract_x
_atom_site_fract_y
_atom_site_fract_z
_atom_site_occupancy
K1 0.000 0.000 0.000 1
Y1 0.598 0.598 0.582 1
Y2 0.827 0.827 0.360 1
Sb1 0.324 0.324 0.641 1
```



Entry 3:
KYSb: optimized geometry, PBE.

Values from the calculation:
Raw formation energy (eV/atom): -0.338
DFT total energy (eV per atom): -4.23
Total moment (μB per formula unit): 0.00
SG: P-6m2

CIF file:
```
data_KYSb
_space_group_name_H-M_alt 'P 1'
_space_group_IT_number 1
_space_group_name_Hall 'P 1'
_cell_length_a 5.172
_cell_length_b 5.172
_cell_length_c 5.283
_cell_angle_alpha 90.00
_cell_angle_beta 90.00
_cell_angle_gamma 120.00
loop_
_atom_site_label
_atom_site_fract_x
_atom_site_fract_y
_atom_site_fract_z
_atom_site_occupancy
K1 0.000 0.000 0.000 1
Y1 0.333 0.667 0.500 1
Sb1 0.667 0.333 0.500 1
```



Entry 4:
K2YSb: optimized geometry, PBE.

Values from the calculation:
Raw formation energy (eV/atom): 0.020
DFT total energy (eV per atom): -3.18
Total moment (μB per formula unit): 0.00
SG: Pmmm

CIF file:
```
data_K2YSb
_space_group_name_H-M_alt 'P 1'
_space_group_IT_number 1
_space_group_name_Hall 'P 1'
_cell_length_a 3.800
_cell_length_b 5.966
_cell_length_c 6.525
_cell_angle_alpha 90.00
_cell_angle_beta 90.00
_cell_angle_gamma 90.00
loop_
_atom_site_label
_atom_site_fract_x
_atom_site_fract_y
_atom_site_fract_z
_atom_site_occupancy
K1 0.000 0.000 0.231 1
K2 0.000 0.000 0.769 1
Y1 0.500 0.500 0.500 1
Sb1 0.500 0.500 0.000 1
```